VASP calculation (GGA-PBE) on a relaxed structure of LuPu2Mn.

Cell lengths 3.3632, 3.3632, 9.9125 Å; angles 80.23, 80.23, 60.00 degrees
With the nearest neighbours (Å) after each atom.
Fractional coordinates of all 4 atoms:
Lu: 0.5000 0.5000 0.5000  6 Lu 3.36, 6 Pu 3.47
Mn: 0.0000 0.0000 0.0000  6 Pu 2.78
Pu: 0.2651 0.2651 0.2047  3 Mn 2.78
Pu: 0.7349 0.7349 0.7953  3 Mn 2.78

SG ... R-3m, No. 166
Magnetic moment ... 8.7 μB per formula unit
Volume ... 23.80 A^3/atom
Energy relative to the lowest polymorph listed for this composition ... 14.3 kJ per mole of atoms

VASP calculation (GGA-PBE) on a relaxed structure of LuPu2Mn.

Cell lengths 3.2945, 3.2945, 8.5839 Å; angles 90.00, 90.00, 90.00 degrees
With the nearest neighbours (Å) after each atom.
Fractional coordinates of all 4 atoms:
Lu: 0.5000 0.5000 0.5000  4 Lu 3.29, 8 Pu 3.47
Mn: 0.5000 0.5000 0.0000  8 Pu 2.90
Pu: 0.0000 0.0000 0.7995  4 Mn 2.90
Pu: 0.0000 0.0000 0.2005  4 Mn 2.90

SG ... P4/mmm, No. 123
Magnetic moment ... 9.0 μB per formula unit
Volume ... 23.29 A^3/atom
Energy relative to the lowest polymorph listed for this composition ... 0.0 kJ per mole of atoms

VASP calculation (GGA-PBE) on a relaxed structure of LuPuMn2.

Cell lengths 3.3673, 3.3673, 6.6746 Å; angles 90.00, 90.00, 90.00 degrees
With the nearest neighbours (Å) after each atom.
Fractional coordinates of all 4 atoms:
Lu: 0.5000 0.5000 0.5000  8 Mn 3.06, 2 Pu 3.34, 4 Lu 3.37
Mn: 0.0000 0.0000 0.7876  4 Pu 2.77, 1 Mn 2.84, 4 Lu 3.06
Mn: 0.0000 0.0000 0.2124  4 Pu 2.77, 1 Mn 2.84, 4 Lu 3.06
Pu: 0.5000 0.5000 0.0000  8 Mn 2.77

SG ... P4/mmm, No. 123
VASP energy ... -0.3405 Ha/atom
Magnetic moment ... 0.0 μB per formula unit
Volume ... 18.92 A^3/atom

VASP calculation (GGA-PBE) on a relaxed structure of LuPuMn2.

Cell lengths 4.7240, 4.7240, 4.7240 Å; angles 60.00, 60.00, 60.00 degrees
With the nearest neighbours (Å) after each atom.
Fractional coordinates of all 4 atoms:
Lu: 0.5000 0.5000 0.5000  8 Mn 2.89
Mn: 0.2500 0.2500 0.2500  4 Pu 2.89, 4 Lu 2.89
Mn: 0.7500 0.7500 0.7500  4 Lu 2.89, 4 Pu 2.89
Pu: 0.0000 0.0000 0.0000  8 Mn 2.89

SG ... Fm-3m, No. 225
VASP energy ... -0.3389 Ha/atom
Magnetic moment ... 0.4 μB per formula unit
Volume ... 18.64 A^3/atom

VASP calculation (GGA-PBE) on a relaxed structure of LuPuMnRu.

Cell lengths 4.7601, 4.7601, 4.7601 Å; angles 60.00, 60.00, 60.00 degrees
With the nearest neighbours (Å) after each atom.
Fractional coordinates of all 4 atoms:
Ru: 0.7500 0.7500 0.7500  4 Pu 2.91, 4 Lu 2.91
Lu: 0.0000 0.0000 0.0000  4 Mn 2.91, 4 Ru 2.91
Mn: 0.2500 0.2500 0.2500  4 Pu 2.91, 4 Lu 2.91
Pu: 0.5000 0.5000 0.5000  4 Ru 2.91, 4 Mn 2.91

SG ... F-43m, No. 216
VASP energy ... -0.3483 Ha/atom
Magnetic moment ... 1.8 μB per formula unit
Volume ... 19.07 A^3/atom

VASP calculation (GGA-PBE) on a relaxed structure of LuPuMnZn.

Cell lengths 4.9110, 4.9110, 4.9110 Å; angles 60.00, 60.00, 60.00 degrees
With the nearest neighbours (Å) after each atom.
Fractional coordinates of all 4 atoms:
Zn: 0.0000 0.0000 0.0000  4 Pu 3.01, 4 Lu 3.01
Lu: 0.2500 0.2500 0.2500  4 Mn 3.01, 4 Zn 3.01
Mn: 0.5000 0.5000 0.5000  4 Pu 3.01, 4 Lu 3.01
Pu: 0.7500 0.7500 0.7500  4 Zn 3.01, 4 Mn 3.01

SG ... F-43m, No. 216
VASP energy ... -0.2697 Ha/atom
Magnetic moment ... 2.5 μB per formula unit
Volume ... 20.94 A^3/atom

VASP calculation (GGA-PBE) on a relaxed structure of LuMn4Re.

Cell lengths 4.8641, 4.8641, 4.8641 Å; angles 60.00, 60.00, 60.00 degrees
With the nearest neighbours (Å) after each atom.
Fractional coordinates of all 6 atoms:
Re: 0.2500 0.2500 0.2500  12 Mn 2.85, 4 Lu 2.98
Lu: 0.0000 0.0000 0.0000  12 Mn 2.85, 4 Re 2.98
Mn: 0.6248 0.6248 0.1256  6 Mn 2.43-2.44
Mn: 0.6248 0.1256 0.6248  6 Mn 2.43-2.44
Mn: 0.6248 0.6248 0.6248  6 Mn 2.43-2.44
Mn: 0.1256 0.6248 0.6248  6 Mn 2.43-2.44

SG ... F-43m, No. 216
VASP energy ... -0.3262 Ha/atom
Magnetic moment ... 4.0 μB per formula unit
Volume ... 13.56 A^3/atom

VASP calculation (GGA-PBE) on a relaxed structure of LuMnRh2.

Cell lengths 3.2746, 4.4765, 4.4765 Å; angles 90.00, 90.00, 90.00 degrees
With the nearest neighbours (Å) after each atom.
Fractional coordinates of all 4 atoms:
Lu: 0.5000 0.5000 0.5000  8 Rh 2.77
Rh: 0.0000 0.0000 0.5000  4 Mn 2.77, 4 Lu 2.77
Rh: 0.0000 0.5000 0.0000  4 Mn 2.77, 4 Lu 2.77
Mn: 0.5000 0.0000 0.0000  8 Rh 2.77

SG ... P4/mmm, No. 123
Magnetic moment ... 4.6 μB per formula unit
Volume ... 16.40 A^3/atom
Energy relative to the lowest polymorph listed for this composition ... 0.0 kJ per mole of atoms